No. 1
# MnBiTe2N (PBE-GGA, relaxed)
# D(E_F) = 3.3 states/eV/f.u.
# Formation energy (no corrections) = 0.84 eV per formula unit
data_MnBiTe2N
_chemical_formula_sum 'Mn1 Bi1 Te2 N1'
_cell_length_a 5.5502
_cell_length_b 5.5502
_cell_length_c 3.5981
_cell_angle_alpha 90.00
_cell_angle_beta 90.00
_cell_angle_gamma 90.00
_space_group_name_H-M_alt 'P 4/m m m'
_space_group_IT_number 123
_space_group_name_Hall '-P 4 2'
loop_
_atom_site_label
_atom_site_type_symbol
_atom_site_fract_x
_atom_site_fract_y
_atom_site_fract_z
Mn1 Mn 0.0000 0.0000 0.0000
Bi1 Bi 0.5000 0.5000 0.5000
Te1 Te 0.0000 0.5000 0.0000
N1 N 0.0000 0.0000 0.5000

=====

No. 2
# Sr2ScTe (PBE-GGA, relaxed)
# D(E_F) = 3.6 states/eV/f.u.
# Formation energy (no corrections) = -2.00 eV per formula unit
data_Sr2ScTe
_chemical_formula_sum 'Sr6 Sc3 Te3'
_cell_length_a 4.1642
_cell_length_b 4.1642
_cell_length_c 31.5526
_cell_angle_alpha 90.00
_cell_angle_beta 90.00
_cell_angle_gamma 120.00
_space_group_name_H-M_alt 'R 3 m'
_space_group_IT_number 160
_space_group_name_Hall 'R 3 -2"'
loop_
_atom_site_label
_atom_site_type_symbol
_atom_site_fract_x
_atom_site_fract_y
_atom_site_fract_z
Sr1 Sr 0.0000 0.0000 0.0000
Sr2 Sr 0.0000 0.0000 0.2176
Sc1 Sc 0.0000 0.0000 0.7598
Te1 Te 0.0000 0.0000 0.4787